1.
# PBE-GGA CsNaP, optimized geometry
# Energy of formation   -0.0318 eV/atom
# Magnetic moment   0.00 μB per atom
# Raw total energy   -122.85 eV/cell
# Excess energy over the best structure of this formula in the dataset   23.47 kJ per mole of atoms
# Crystal system   orthorhombic
data_CsNaP
_chemical_formula_sum 'Cs16 Na16 P16'
_space_group_name_H-M_alt 'F d d d'
_space_group_IT_number 70
_cell_length_a 7.172
_cell_length_b 12.244
_cell_length_c 18.138
_cell_angle_alpha 90.00
_cell_angle_beta 90.00
_cell_angle_gamma 90.00
loop_
_space_group_symop_operation_xyz
'x,y,z'
'-x,-y,-z'
'-x+1/4,-y+1/4,z'
'x+1/4,y+1/4,-z'
'x,-y+1/4,-z+1/4'
'-x,y+1/4,z+1/4'
'-x+1/4,y,-z+1/4'
'x+1/4,-y,z+1/4'
'x,y+1/2,z+1/2'
'-x,-y+1/2,-z+1/2'
'-x+1/4,-y+3/4,z+1/2'
'x+1/4,y+3/4,-z+1/2'
'x,-y+3/4,-z+3/4'
'-x,y+3/4,z+3/4'
'-x+1/4,y+1/2,-z+3/4'
'x+1/4,-y+1/2,z+3/4'
'x+1/2,y,z+1/2'
'-x+1/2,-y,-z+1/2'
'-x+3/4,-y+1/4,z+1/2'
'x+3/4,y+1/4,-z+1/2'
'x+1/2,-y+1/4,-z+3/4'
'-x+1/2,y+1/4,z+3/4'
'-x+3/4,y,-z+3/4'
'x+3/4,-y,z+3/4'
'x+1/2,y+1/2,z'
'-x+1/2,-y+1/2,-z'
'-x+3/4,-y+3/4,z'
'x+3/4,y+3/4,-z'
'x+1/2,-y+3/4,-z+1/4'
'-x+1/2,y+3/4,z+1/4'
'-x+3/4,y+1/2,-z+1/4'
'x+3/4,-y+1/2,z+1/4'
loop_
_atom_site_label
_atom_site_fract_x
_atom_site_fract_y
_atom_site_fract_z
Cs1 0.125 0.125 0.025
Na1 0.125 0.259 0.625
P1 0.125 0.125 0.486



2.
# PBE-GGA CsNa2P2, optimized geometry
# Energy of formation   -0.3142 eV/atom
# Magnetic moment   0.00 μB per atom
# Raw total energy   -31.76 eV/cell
# Excess energy over the best structure of this formula in the dataset   0.00 kJ per mole of atoms
# Crystal system   tetragonal
data_CsNa2P2
_chemical_formula_sum 'Cs2 Na4 P4'
_space_group_name_H-M_alt 'I 4/m m m'
_space_group_IT_number 139
_space_group_name_Hall '-I 4 2'
_cell_length_a 5.245
_cell_length_b 5.245
_cell_length_c 10.015
_cell_angle_alpha 90.00
_cell_angle_beta 90.00
_cell_angle_gamma 90.00
loop_
_atom_site_label
_atom_site_fract_x
_atom_site_fract_y
_atom_site_fract_z
Cs1 0.000 0.000 0.000
Na1 0.000 0.500 0.250
P1 0.000 0.000 0.392